1.
Below is a relaxed Be2PtCl crystal, with properties calculated at the GGA-PBEsol level.

Computed properties:
Its space-group type is No. 12. For the energy relative to the elements, uncorrected, the calculation gives -0.0051 eV per atom. The energy above the most stable polymorph in this dataset is 0.4840 eV per atom.

a = 2.734 Å, b = 4.290 Å, c = 4.290 Å
α = 89.95°, β = 90.96°, γ = 90.96°
Sites, in units of the cell vectors:
1 Be 0.000 0.500 0.000
2 Be 0.000 0.000 0.500
3 Pt 0.500 0.500 0.500
4 Cl 0.500 0.000 0.000

2.
Below is a relaxed BeAg3 crystal, with properties calculated at the GGA-PBEsol level.

Computed properties:
Its space-group type is No. 123. The formation enthalpy at 0 K comes out at 0.05 eV/atom.

a = 2.880 Å, b = 2.880 Å, c = 6.924 Å
α = 90.00°, β = 90.00°, γ = 90.00°
Sites, in units of the cell vectors:
1 Be 0.500 0.500 0.000
2 Ag 0.000 0.000 0.792
3 Ag 0.500 0.500 0.500
4 Ag 0.000 0.000 0.208

3.
Below is a relaxed LiFeTe crystal, with properties calculated at the GGA-PBEsol level.

Computed properties:
Its space-group type is No. 107. For the energy relative to the elements, uncorrected, the calculation gives -0.0226 eV per atom.

a = 3.319 Å, b = 3.319 Å, c = 4.576 Å
α = 111.26°, β = 111.26°, γ = 90.00°
Site moments in Bohr magnetons follow the coordinates.
Sites, in units of the cell vectors:
1 Te 0.659 0.659 0.318  -0.04
2 Fe 0.006 0.006 0.012  1.15
3 Li 0.335 0.335 0.670  -0.01

4.
Below is a relaxed Sc3Sb crystal, with properties calculated at the GGA-PBEsol level.

Computed properties:
Its space-group type is No. 59. For the energy relative to the elements, uncorrected, the calculation gives -0.5548 eV per atom. The energy above the most stable polymorph in this dataset is 0.0000 eV per atom.

a = 4.997 Å, b = 5.732 Å, c = 6.045 Å
α = 90.00°, β = 90.00°, γ = 90.00°
Sites, in units of the cell vectors:
1 Sb 0.000 0.339 0.000
2 Sb 0.500 0.661 0.500
3 Sc 0.500 0.637 0.000
4 Sc 0.000 0.363 0.500
5 Sc 0.000 0.855 0.745
6 Sc 0.000 0.855 0.255
7 Sc 0.500 0.145 0.245
8 Sc 0.500 0.145 0.755

5.
Below is a relaxed Mg2HgP crystal, with properties calculated at the GGA-PBEsol level.

Computed properties:
Its space-group type is No. 122. The formation enthalpy at 0 K comes out at -0.13 eV/atom.

a = 6.136 Å, b = 6.136 Å, c = 6.136 Å
α = 111.19°, β = 108.62°, γ = 108.62°
Sites, in units of the cell vectors:
1 P 0.500 0.250 0.750
2 P 0.000 0.500 0.500
3 Mg 0.959 0.584 0.125
4 Mg 0.041 0.166 0.625
5 Mg 0.459 0.875 0.834
6 Mg 0.541 0.375 0.416
7 Hg 0.500 0.750 0.250
8 Hg 0.000 0.000 0.000

6.
Below is a relaxed LiLaSbI2 crystal, with properties calculated at the GGA-PBEsol level.

Computed properties:
Its space-group type is No. 123. For the energy relative to the elements, uncorrected, the calculation gives -0.5352 eV per atom.

a = 6.070 Å, b = 6.181 Å, c = 6.181 Å
α = 90.00°, β = 90.00°, γ = 90.00°
Sites, in units of the cell vectors:
1 I 0.000 0.000 0.500
2 I 0.000 0.500 0.000
3 Sb 0.500 0.000 0.000
4 Li 0.500 0.500 0.500
5 La 0.000 0.000 0.000

7.
Below is a relaxed BaMg crystal, with properties calculated at the GGA-PBEsol level.

Computed properties:
Its space-group type is No. 8. The formation enthalpy at 0 K comes out at 0.00 eV/atom.

a = 4.178 Å, b = 7.361 Å, c = 8.184 Å
α = 105.34°, β = 90.00°, γ = 106.49°
Sites, in units of the cell vectors:
1 Mg 0.323 0.646 0.570
2 Mg 0.951 0.903 0.441
3 Mg 0.318 0.636 0.163
4 Ba 0.944 0.888 0.922
5 Ba 0.663 0.325 0.777
6 Ba 0.635 0.269 0.294

8.
Below is a relaxed OsRuPt crystal, with properties calculated at the GGA-PBEsol level.

Computed properties:
Its space-group type is No. 156. The formation enthalpy at 0 K comes out at 0.05 eV/atom. The energy above the most stable polymorph in this dataset is 0.0287 eV per atom.

a = 2.708 Å, b = 2.708 Å, c = 6.669 Å
α = 90.00°, β = 90.00°, γ = 120.00°
Sites, in units of the cell vectors:
1 Ru 0.667 0.333 0.322
2 Os 0.000 0.000 0.012
3 Pt 0.333 0.667 0.666

The records above give, respectively, density values of 8.20; 9.62; 7.31; 4.92; 5.24; 3.73; 3.47; 19.08 g cm⁻³.
The records above give, respectively, total magnetic moment values of 0.0; 0.0; 1.0; 0.0; 0.0; 0.0; 0.0; 0.0 μB per cell.